1.
Computed, not measured: crystalline LaOs2Br at its relaxed geometry at the PBE level of DFT.

## Properties
total DFT energy (no corrections): -28.9 eV per formula unit

```
LaOs2Br
1.0
3.832 0.000 0.000
0.000 3.128 -0.117
0.000 1.881 8.093
La Os Br
1 2 1
Direct
0.500 0.672 0.781 La
0.000 0.042 0.042 Os
0.500 0.497 0.128 Os
0.000 0.289 0.549 Br
```

=====

2.
Computed, not measured: crystalline LaOs2Br at its relaxed geometry at the PBE level of DFT.

## Properties
total DFT energy (no corrections): -24.7 eV per formula unit

```
LaOs2Br
1.0
-0.049 1.501 2.750
-3.045 0.627 -0.397
-1.848 -6.686 3.616
La Br Os
1 1 2
Direct
0.500 0.500 0.750 La
0.500 0.500 0.250 Br
0.000 0.000 0.041 Os
0.000 0.000 0.459 Os
```

=====

How do the records compare in total moment? In the order shown, they have 0.00, 0.00 μB per cell.